Entry 1:
## TmZr4Sc7 (PBE)

Data for a geometry-optimized TmZr4Sc7 structure.

Unit cell a=7.7609 b=7.7609 c=9.1211 alpha=122.34 beta=122.34 gamma=41.18
Closest atoms and distances in Å follow each position.
Sites, in units of the cell vectors:
Tm (0.0000, 0.0000, 0.0000)  2 Sc 2.73
Zr (0.3153, 0.3153, 0.6449)  3 Sc 2.79-2.84, 1 Zr 2.93
Zr (0.4630, 0.4630, 0.2910)  4 Sc 2.79-3.07, 1 Zr 2.93
Zr (0.5370, 0.5370, 0.7090)  4 Sc 2.79-3.07, 1 Zr 2.93
Zr (0.6847, 0.6847, 0.3551)  3 Sc 2.79-2.84, 1 Zr 2.93
Sc (0.0786, 0.0786, 0.4312)  3 Zr 2.82-3.07
Sc (0.2066, 0.2066, 0.8825)  7 Sc 3.25-3.44, 4 Zr 3.33-3.45
Sc (0.2751, 0.2751, 0.3019)  2 Zr 2.79-2.84
Sc (0.5000, 0.5000, 0.0000)  2 Tm 2.73, 4 Zr 2.79-2.99
Sc (0.7249, 0.7249, 0.6981)  2 Zr 2.79-2.84
Sc (0.7934, 0.7934, 0.1175)  7 Sc 3.25-3.44, 4 Zr 3.33-3.45
Sc (0.9214, 0.9214, 0.5688)  3 Zr 2.82-3.07

Calculated values
Uncorrected energy in eV/f.u.: -79.78
Space-group type: C2/m



Entry 2:
## Tm4ZrSc3 (PBE)

Data for a geometry-optimized Tm4ZrSc3 structure.

Unit cell a=8.3766 b=8.3766 c=3.2135 alpha=90.00 beta=90.00 gamma=96.72
Closest atoms and distances in Å follow each position.
Sites, in units of the cell vectors:
Tm (0.2404, 0.2404, 0.5000)  2 Zr 3.12, 4 Sc 3.13-3.31, 2 Tm 3.21
Tm (0.2491, 0.7509, 0.0000)  1 Zr 3.12, 5 Sc 3.14-3.21, 2 Tm 3.21
Tm (0.7509, 0.2491, 0.0000)  1 Zr 3.12, 5 Sc 3.14-3.21, 2 Tm 3.21
Tm (0.7596, 0.7596, 0.5000)  2 Zr 3.12, 4 Sc 3.13-3.31, 2 Tm 3.21
Zr (0.0000, 0.0000, 0.0000)  6 Tm 3.12, 2 Zr 3.21
Sc (0.0000, 0.5000, 0.5000)  6 Tm 3.13-3.21, 2 Sc 3.21
Sc (0.5000, 0.0000, 0.5000)  6 Tm 3.13-3.21, 2 Sc 3.21
Sc (0.5000, 0.5000, 0.0000)  6 Tm 3.14-3.31, 2 Sc 3.21

Calculated values
Uncorrected energy in eV/f.u.: -41.66
Space-group type: Cmmm



Entry 3:
## Tm2Zr2Sc7 (PBE)

Data for a geometry-optimized Tm2Zr2Sc7 structure.

Unit cell a=5.8082 b=5.8082 c=9.0642 alpha=90.05 beta=90.05 gamma=114.33
Closest atoms and distances in Å follow each position.
Sites, in units of the cell vectors:
Tm (0.2006, 0.7994, 0.0000)  2 Zr 3.15, 6 Sc 3.23-3.31, 2 Tm 3.29
Tm (0.7994, 0.2006, 0.0000)  2 Zr 3.15, 6 Sc 3.23-3.31, 2 Tm 3.29
Zr (0.1839, 0.1839, 0.2405)  6 Sc 3.05-3.20, 2 Tm 3.15
Zr (0.8161, 0.8161, 0.7595)  6 Sc 3.05-3.20, 2 Tm 3.15
Sc (0.0687, 0.6493, 0.3512)  2 Zr 3.06-3.20, 7 Sc 3.11-3.34, 1 Tm 3.31
Sc (0.3507, 0.9313, 0.6488)  2 Zr 3.06-3.20, 7 Sc 3.11-3.34, 1 Tm 3.31
Sc (0.3550, 0.3550, 0.8608)  1 Zr 3.05, 4 Sc 3.11-3.40, 4 Tm 3.23-3.31
Sc (0.5000, 0.5000, 0.5000)  2 Zr 3.08, 10 Sc 3.26-3.40
Sc (0.6450, 0.6450, 0.1392)  1 Zr 3.05, 4 Sc 3.11-3.40, 4 Tm 3.23-3.31
Sc (0.6493, 0.0687, 0.3512)  2 Zr 3.06-3.20, 7 Sc 3.11-3.34, 1 Tm 3.31
Sc (0.9313, 0.3507, 0.6488)  2 Zr 3.06-3.20, 7 Sc 3.11-3.34, 1 Tm 3.31

Calculated values
Uncorrected energy in eV/f.u.: -68.90
Space-group type: C2/m
Energy relative to the lowest polymorph listed for this composition in meV/atom: 0



Entry 4:
## TmZr4Sc (PBE)

Data for a geometry-optimized TmZr4Sc structure.

Unit cell a=7.6785 b=5.0306 c=7.6878 alpha=90.00 beta=101.20 gamma=90.00
Closest atoms and distances in Å follow each position.
Sites, in units of the cell vectors:
Tm (0.1786, 0.2500, 0.3218)  1 Sc 3.12, 12 Zr 3.21-3.47
Tm (0.8214, 0.7500, 0.6782)  1 Sc 3.12, 12 Zr 3.21-3.47
Zr (0.1083, 0.2500, 0.7357)  6 Zr 2.93-3.26, 1 Sc 3.20
Zr (0.1512, 0.7500, 0.0076)  7 Zr 3.06-3.41, 1 Tm 3.21, 3 Sc 3.27-3.33
Zr (0.2363, 0.7500, 0.6091)  6 Zr 2.93-3.25, 1 Sc 3.20
Zr (0.4918, 0.7500, 0.3482)  7 Zr 3.07-3.42, 1 Tm 3.22, 3 Sc 3.27-3.33
Zr (0.5082, 0.2500, 0.6518)  7 Zr 3.07-3.42, 1 Tm 3.22, 3 Sc 3.27-3.33
Zr (0.7637, 0.2500, 0.3909)  6 Zr 2.93-3.25, 1 Sc 3.20
Zr (0.8488, 0.2500, 0.9924)  7 Zr 3.06-3.41, 1 Tm 3.21, 3 Sc 3.27-3.33
Zr (0.8917, 0.7500, 0.2643)  6 Zr 2.93-3.26, 1 Sc 3.20
Sc (0.4408, 0.2500, 0.0587)  2 Sc 2.88, 1 Tm 3.12, 2 Zr 3.20
Sc (0.5592, 0.7500, 0.9413)  2 Sc 2.88, 1 Tm 3.12, 2 Zr 3.20

Calculated values
Uncorrected energy in eV/f.u.: -44.83
Space-group type: P2_1/m



Entry 5:
## Sc4U (PBE)

Data for a geometry-optimized Sc4U structure.

Unit cell a=5.0700 b=5.0700 c=5.0700 alpha=90.00 beta=90.00 gamma=90.00
Closest atoms and distances in Å follow each position.
Sites, in units of the cell vectors:
Sc (0.0000, 0.0000, 0.0000)  12 Sc 3.59
Sc (0.0000, 0.5000, 0.5000)  2 U 2.54
Sc (0.5000, 0.0000, 0.5000)  2 U 2.54
Sc (0.5000, 0.5000, 0.0000)  2 U 2.54
U (0.5000, 0.5000, 0.5000)  6 Sc 2.54

Calculated values
Uncorrected energy in eV/f.u.: -32.28
Space-group type: Pm-3m



Entry 6:
## ScU2 (PBE)

Data for a geometry-optimized ScU2 structure.

Unit cell a=5.6796 b=5.6796 c=5.6796 alpha=60.00 beta=60.00 gamma=60.00
Closest atoms and distances in Å follow each position.
Sites, in units of the cell vectors:
Sc (0.1250, 0.1250, 0.1250)  12 U 3.33, 4 Sc 3.48
Sc (0.8750, 0.8750, 0.8750)  12 U 3.33, 4 Sc 3.48
U (0.0000, 0.5000, 0.5000)  6 U 2.84
U (0.5000, 0.0000, 0.5000)  6 U 2.84
U (0.5000, 0.5000, 0.0000)  6 U 2.84
U (0.5000, 0.5000, 0.5000)  6 U 2.84

Calculated values
Uncorrected energy in eV/f.u.: -28.00
Space-group type: Fd-3m
Energy relative to the lowest polymorph listed for this composition in meV/atom: 87



Entry 7:
## Sc5U (PBE)

Data for a geometry-optimized Sc5U structure.

Unit cell a=7.2846 b=7.2846 c=4.5283 alpha=90.00 beta=90.00 gamma=143.17
Closest atoms and distances in Å follow each position.
Sites, in units of the cell vectors:
Sc (0.0000, 0.0000, 0.0000)  8 Sc 3.19-3.20, 4 U 3.23
Sc (0.1637, 0.8363, 0.5000)  10 Sc 3.20-3.33, 2 U 3.23
Sc (0.3407, 0.6593, 0.0000)  2 U 3.16, 10 Sc 3.19-3.40
Sc (0.6593, 0.3407, 0.0000)  2 U 3.16, 10 Sc 3.19-3.40
Sc (0.8363, 0.1637, 0.5000)  10 Sc 3.20-3.33, 2 U 3.23
U (0.5000, 0.5000, 0.5000)  12 Sc 3.16-3.23

Calculated values
Uncorrected energy in eV/f.u.: -41.61
Space-group type: Cmmm



Entry 8:
## ScU (PBE)

Data for a geometry-optimized ScU structure.

Unit cell a=3.3613 b=3.6969 c=7.4674 alpha=90.00 beta=90.20 gamma=90.00
Closest atoms and distances in Å follow each position.
Sites, in units of the cell vectors:
Sc (0.2439, 0.2500, 0.3621)  5 U 3.15-3.36, 6 Sc 3.22-3.36
Sc (0.7561, 0.7500, 0.6379)  5 U 3.15-3.36, 6 Sc 3.22-3.36
U (0.3201, 0.2500, 0.9160)  2 U 2.54
U (0.6799, 0.7500, 0.0840)  2 U 2.54

Calculated values
Uncorrected energy in eV/f.u.: -17.36
Space-group type: P2_1/m



Entry 9:
## ScU6 (PBE)

Data for a geometry-optimized ScU6 structure.

Unit cell a=6.1432 b=6.1432 c=6.1432 alpha=109.47 beta=109.47 gamma=109.47
Closest atoms and distances in Å follow each position.
Sites, in units of the cell vectors:
Sc (0.0000, 0.0000, 0.0000)  24 U 3.97
U (0.2500, 0.5000, 0.7500)  4 U 2.51
U (0.2500, 0.7500, 0.5000)  4 U 2.51
U (0.5000, 0.2500, 0.7500)  4 U 2.51
U (0.5000, 0.7500, 0.2500)  4 U 2.51
U (0.7500, 0.2500, 0.5000)  4 U 2.51
U (0.7500, 0.5000, 0.2500)  4 U 2.51

Calculated values
Uncorrected energy in eV/f.u.: -67.68
Space-group type: Im-3m



Entry 10:
## ScU2 (PBE)

Data for a geometry-optimized ScU2 structure.

Unit cell a=6.0425 b=6.0425 c=6.0425 alpha=146.53 beta=146.53 gamma=48.07
Closest atoms and distances in Å follow each position.
Sites, in units of the cell vectors:
Sc (0.0000, 0.0000, 0.0000)  10 U 3.30-3.31, 4 Sc 3.48
U (0.2991, 0.2991, 0.0000)  4 U 2.69
U (0.7009, 0.7009, 0.0000)  4 U 2.69

Calculated values
Uncorrected energy in eV/f.u.: -28.26
Space-group type: I4/mmm
Energy relative to the lowest polymorph listed for this composition in meV/atom: 0



Entry 11:
## ScUV4 (PBE)

Data for a geometry-optimized ScUV4 structure.

Unit cell a=5.1830 b=5.1830 c=5.1830 alpha=60.00 beta=60.00 gamma=60.00
Closest atoms and distances in Å follow each position.
Sites, in units of the cell vectors:
Sc (0.0000, 0.0000, 0.0000)  12 V 3.04, 4 U 3.17
U (0.2500, 0.2500, 0.2500)  12 V 3.04, 4 Sc 3.17
V (0.1292, 0.6236, 0.6236)  6 V 2.56-2.62
V (0.6236, 0.1292, 0.6236)  6 V 2.56-2.62
V (0.6236, 0.6236, 0.1292)  6 V 2.56-2.62
V (0.6236, 0.6236, 0.6236)  6 V 2.56-2.62

Calculated values
Uncorrected energy in eV/f.u.: -52.77
Space-group type: F-43m



Entry 12:
## ScUV (PBE)

Data for a geometry-optimized ScUV structure.

Unit cell a=7.6270 b=7.6270 c=3.5065 alpha=90.00 beta=90.00 gamma=144.70
Closest atoms and distances in Å follow each position.
Sites, in units of the cell vectors:
Sc (0.2298, 0.7702, 0.7500)  2 V 2.93, 4 Sc 2.96
Sc (0.7702, 0.2298, 0.2500)  2 V 2.93, 4 Sc 2.96
U (0.4351, 0.5649, 0.2500)  2 U 2.57
U (0.5649, 0.4351, 0.7500)  2 U 2.57
V (0.0679, 0.9321, 0.2500)  2 V 2.64, 4 U 2.90, 2 Sc 2.93
V (0.9321, 0.0679, 0.7500)  2 V 2.64, 4 U 2.90, 2 Sc 2.93

Calculated values
Uncorrected energy in eV/f.u.: -26.26
Space-group type: Cmcm



Entry 13:
## ScUW (PBE)

Data for a geometry-optimized ScUW structure.

Unit cell a=2.8794 b=4.9868 c=8.5682 alpha=90.00 beta=90.00 gamma=90.00
Closest atoms and distances in Å follow each position.
Sites, in units of the cell vectors:
Sc (0.2500, 0.2500, 0.0858)  2 Sc 2.88, 2 U 2.90, 1 W 3.11
Sc (0.7500, 0.7500, 0.9142)  2 Sc 2.88, 2 U 2.90, 1 W 3.11
U (0.2500, 0.7500, 0.2586)  2 U 2.88, 4 W 2.89-2.98, 2 Sc 2.90
U (0.7500, 0.2500, 0.7414)  2 U 2.88, 4 W 2.89-2.98, 2 Sc 2.90
W (0.2500, 0.2500, 0.4491)  6 W 2.88-3.01, 4 U 2.89-2.98, 1 Sc 3.11
W (0.7500, 0.7500, 0.5509)  6 W 2.88-3.01, 4 U 2.89-2.98, 1 Sc 3.11

Calculated values
Uncorrected energy in eV/f.u.: -28.63
Space-group type: Pmmn



Entry 14:
## ScUZn17 (PBE)

Data for a geometry-optimized ScUZn17 structure.

Unit cell a=6.7583 b=6.7583 c=6.7583 alpha=82.47 beta=82.47 gamma=82.47
Closest atoms and distances in Å follow each position.
Sites, in units of the cell vectors:
Sc (0.0000, 0.0000, 0.0000)  13 Zn 3.00-3.26
U (0.6673, 0.6673, 0.6673)  19 Zn 3.12-3.40
Zn (0.0336, 0.3290, 0.6329)  8 Zn 2.57-2.77
Zn (0.0336, 0.6329, 0.3290)  8 Zn 2.57-2.77
Zn (0.1637, 0.6882, 0.6882)  8 Zn 2.53-2.77
Zn (0.2284, 0.2284, 0.2284)  7 Zn 2.65-2.81
Zn (0.3290, 0.0336, 0.6329)  8 Zn 2.57-2.77
Zn (0.3290, 0.6329, 0.0336)  8 Zn 2.57-2.77
Zn (0.3374, 0.3374, 0.8271)  10 Zn 2.57-2.75
Zn (0.3374, 0.8271, 0.3374)  10 Zn 2.57-2.75
Zn (0.4298, 0.4298, 0.4298)  13 Zn 2.65-2.96
Zn (0.4867, 0.9793, 0.9793)  9 Zn 2.53-2.81
Zn (0.6329, 0.0336, 0.3290)  8 Zn 2.57-2.77
Zn (0.6329, 0.3290, 0.0336)  8 Zn 2.57-2.77
Zn (0.6882, 0.1637, 0.6882)  8 Zn 2.53-2.77
Zn (0.6882, 0.6882, 0.1637)  8 Zn 2.53-2.77
Zn (0.8271, 0.3374, 0.3374)  10 Zn 2.57-2.75
Zn (0.9793, 0.4867, 0.9793)  9 Zn 2.53-2.81
Zn (0.9793, 0.9793, 0.4867)  9 Zn 2.53-2.81

Calculated values
Uncorrected energy in eV/f.u.: -41.26
Space-group type: R3m



Entry 15:
## ScUZn4 (PBE)

Data for a geometry-optimized ScUZn4 structure.

Unit cell a=5.3406 b=5.3406 c=5.3406 alpha=60.00 beta=60.00 gamma=60.00
Closest atoms and distances in Å follow each position.
Sites, in units of the cell vectors:
Sc (0.0000, 0.0000, 0.0000)  12 Zn 3.13, 4 U 3.27
U (0.7500, 0.7500, 0.7500)  12 Zn 3.13, 4 Sc 3.27
Zn (0.3747, 0.3747, 0.3747)  6 Zn 2.66-2.68
Zn (0.3747, 0.3747, 0.8760)  6 Zn 2.66-2.68
Zn (0.3747, 0.8760, 0.3747)  6 Zn 2.66-2.68
Zn (0.8760, 0.3747, 0.3747)  6 Zn 2.66-2.68

Calculated values
Uncorrected energy in eV/f.u.: -23.14
Space-group type: F-43m



Entry 16:
## ZrScU (PBE)

Data for a geometry-optimized ZrScU structure.

Unit cell a=9.4789 b=9.4789 c=4.7942 alpha=90.00 beta=90.00 gamma=161.58
Closest atoms and distances in Å follow each position.
Sites, in units of the cell vectors:
Zr (0.1196, 0.8804, 0.7500)  2 Zr 3.03, 6 U 3.24-3.26, 5 Sc 3.26-3.28
Zr (0.8804, 0.1196, 0.2500)  2 Zr 3.03, 6 U 3.24-3.26, 5 Sc 3.26-3.28
Sc (0.2946, 0.7054, 0.7500)  6 Sc 3.03-3.29, 1 U 3.22, 5 Zr 3.26-3.28
Sc (0.7054, 0.2946, 0.2500)  6 Sc 3.03-3.29, 1 U 3.22, 5 Zr 3.26-3.28
U (0.4665, 0.5335, 0.7500)  2 U 2.71
U (0.5335, 0.4665, 0.2500)  2 U 2.71

Calculated values
Uncorrected energy in eV/f.u.: -25.81
Space-group type: Cmcm
Energy relative to the lowest polymorph listed for this composition in meV/atom: 0



Entry 17:
## ZrScU (PBE)

Data for a geometry-optimized ZrScU structure.

Unit cell a=5.0911 b=5.0911 c=3.0520 alpha=90.00 beta=90.00 gamma=120.00
Closest atoms and distances in Å follow each position.
Sites, in units of the cell vectors:
Zr (0.0000, 0.0000, 0.0000)  3 U 2.94, 2 Zr 3.05
Sc (0.6667, 0.3333, 0.5000)  2 Sc 3.05, 6 Zr 3.31, 6 U 3.31
U (0.3333, 0.6667, 0.0000)  3 Zr 2.94, 2 U 3.05

Calculated values
Uncorrected energy in eV/f.u.: -25.53
Space-group type: P-6m2
Energy relative to the lowest polymorph listed for this composition in meV/atom: 93



Entry 18:
## ScV (PBE)

Data for a geometry-optimized ScV structure.

Unit cell a=9.9125 b=9.9125 c=2.8330 alpha=90.00 beta=90.00 gamma=120.00
Closest atoms and distances in Å follow each position.
Sites, in units of the cell vectors:
Sc (0.0512, 0.3198, 0.2500)  4 V 2.71-2.88, 2 Sc 2.83
Sc (0.2686, 0.9488, 0.2500)  4 V 2.71-2.88, 2 Sc 2.83
Sc (0.3198, 0.2686, 0.7500)  4 V 2.71-2.88, 2 Sc 2.83
Sc (0.6802, 0.7314, 0.2500)  4 V 2.71-2.88, 2 Sc 2.83
Sc (0.7314, 0.0512, 0.7500)  4 V 2.71-2.88, 2 Sc 2.83
Sc (0.9488, 0.6802, 0.7500)  4 V 2.71-2.88, 2 Sc 2.83
V (0.1742, 0.6329, 0.2500)  2 V 2.49, 2 Sc 2.71-2.78
V (0.3671, 0.5413, 0.2500)  2 V 2.49, 2 Sc 2.71-2.78
V (0.4587, 0.8258, 0.2500)  2 V 2.49, 2 Sc 2.71-2.78
V (0.5413, 0.1742, 0.7500)  2 V 2.49, 2 Sc 2.71-2.78
V (0.6329, 0.4587, 0.7500)  2 V 2.49, 2 Sc 2.71-2.78
V (0.8258, 0.3671, 0.7500)  2 V 2.49, 2 Sc 2.71-2.78

Calculated values
Uncorrected energy in eV/f.u.: -14.29
Space-group type: P6_3/m
Energy relative to the lowest polymorph listed for this composition in meV/atom: 495



Entry 19:
## ScV (PBE)

Data for a geometry-optimized ScV structure.

Unit cell a=2.7847 b=2.7847 c=4.5942 alpha=90.00 beta=90.00 gamma=90.00
Closest atoms and distances in Å follow each position.
Sites, in units of the cell vectors:
Sc (0.0000, 0.0000, 0.0000)  4 Sc 2.78, 8 V 3.03
V (0.5000, 0.5000, 0.5000)  4 V 2.78, 8 Sc 3.03

Calculated values
Uncorrected energy in eV/f.u.: -14.68
Space-group type: P4/mmm
Energy relative to the lowest polymorph listed for this composition in meV/atom: 301



Entry 20:
## ScV (PBE)

Data for a geometry-optimized ScV structure.

Unit cell a=5.1687 b=5.9140 c=9.8709 alpha=90.00 beta=90.00 gamma=90.00
Closest atoms and distances in Å follow each position.
Sites, in units of the cell vectors:
Sc (0.0241, 0.0723, 0.2557)  7 V 2.86-3.15, 5 Sc 2.97-3.18
Sc (0.1517, 0.6368, 0.5443)  4 V 2.80-3.09, 4 Sc 3.02-3.12
Sc (0.3483, 0.3632, 0.0443)  4 V 2.80-3.09, 4 Sc 3.02-3.12
Sc (0.4759, 0.9277, 0.7557)  7 V 2.86-3.15, 5 Sc 2.97-3.18
Sc (0.5241, 0.4277, 0.7443)  7 V 2.86-3.15, 5 Sc 2.97-3.18
Sc (0.6517, 0.8632, 0.4557)  4 V 2.80-3.09, 4 Sc 3.02-3.12
Sc (0.8483, 0.1368, 0.9557)  4 V 2.80-3.09, 4 Sc 3.02-3.12
Sc (0.9759, 0.5723, 0.2443)  7 V 2.86-3.15, 5 Sc 2.97-3.18
V (0.0016, 0.6762, 0.8154)  1 V 2.04
V (0.2341, 0.1534, 0.5191)  1 V 2.04
V (0.2659, 0.8466, 0.0191)  1 V 2.04
V (0.4984, 0.3238, 0.3154)  1 V 2.04
V (0.5016, 0.8238, 0.1846)  1 V 2.04
V (0.7341, 0.3466, 0.4809)  1 V 2.04
V (0.7659, 0.6534, 0.9809)  1 V 2.04
V (0.9984, 0.1762, 0.6846)  1 V 2.04

Calculated values
Uncorrected energy in eV/f.u.: -14.90
Space-group type: P2_12_12_1
Energy relative to the lowest polymorph listed for this composition in meV/atom: 191